# 1
## HoPa2Si (GGA-PBE)

Data for an optimized crystal structure of HoPa2Si.

abc: 4.899 4.304 4.304
angles: 90.00 90.00 90.00
Element x y z (fractional)
Si  0.500  0.000  0.000
Pa  0.000  0.000  0.500
Pa  0.000  0.500  0.000
Ho  0.500  0.500  0.500

Computed properties:
raw formation energy	-0.74	eV/f.u.
total DFT energy (no corrections)	-7.4321	eV per atom
offset from the most stable computed form	0.000	eV per atom
N(E_F)	1.37	states/eV/atom
volume	22.69	Å³/atom
total moment	0.0	μB per formula unit
space group	P4/mmm

***

# 2
## SmHo2Pa (GGA-PBE)

Data for an optimized crystal structure of SmHo2Pa.

abc: 3.333 3.333 12.419
angles: 82.29 82.29 60.00
Element x y z (fractional)
Pa  0.000  0.000  0.000
Ho  0.087  0.087  0.739
Ho  0.913  0.913  0.261
Sm  0.500  0.500  0.500

Computed properties:
total DFT energy (no corrections)	-5.5507	eV per atom
E_form	1.17	eV/f.u.
offset from the most stable computed form	0.177	eV per atom
N(E_F)	1.30	states/eV/atom
volume	29.51	Å³/atom
total moment	0.0	μB per formula unit
space group	R-3m

***

# 3
## SmHo2Pa (GGA-PBE)

Data for an optimized crystal structure of SmHo2Pa.

abc: 3.434 3.434 11.720
angles: 81.57 81.57 60.00
Element x y z (fractional)
Sm  0.666  0.666  0.001
Ho  0.087  0.087  0.740
Ho  0.247  0.247  0.260
Pa  0.500  0.500  0.499

Computed properties:
total DFT energy (no corrections)	-5.7276	eV per atom
E_form	0.46	eV/f.u.
offset from the most stable computed form	0.000	eV per atom
N(E_F)	1.65	states/eV/atom
volume	29.49	Å³/atom
total moment	0.0	μB per formula unit
space group	R3m

***

# 4
## SmHo2Pa (GGA-PBE)

Data for an optimized crystal structure of SmHo2Pa.

abc: 3.531 5.809 5.809
angles: 90.00 90.00 90.00
Each line ends with the local moment (μB).
Element x y z (fractional)
Pa  0.500  0.000  0.000  0.44
Ho  0.000  0.000  0.500  0.02
Ho  0.000  0.500  0.000  0.02
Sm  0.500  0.500  0.500  0.00

Computed properties:
total DFT energy (no corrections)	-5.5469	eV per atom
E_form	1.18	eV/f.u.
offset from the most stable computed form	0.181	eV per atom
N(E_F)	1.89	states/eV/atom
volume	29.78	Å³/atom
total moment	0.6	μB per formula unit
space group	P4/mmm

***

# 5
## SmHo2Pa (GGA-PBE)

Data for an optimized crystal structure of SmHo2Pa.

abc: 3.413 3.413 10.218
angles: 90.00 90.00 90.00
Element x y z (fractional)
Pa  0.500  0.500  0.000
Ho  0.000  0.000  0.769
Ho  0.000  0.000  0.231
Sm  0.500  0.500  0.500

Computed properties:
total DFT energy (no corrections)	-5.7163	eV per atom
E_form	0.51	eV/f.u.
offset from the most stable computed form	0.011	eV per atom
N(E_F)	1.72	states/eV/atom
volume	29.76	Å³/atom
total moment	0.0	μB per formula unit
space group	P4/mmm

***

# 6
## SmHoPa (GGA-PBE)

Data for an optimized crystal structure of SmHoPa.

abc: 3.437 3.437 8.605
angles: 90.00 90.00 120.00
Element x y z (fractional)
Pa  0.000  0.000  0.002
Ho  0.667  0.333  0.318
Sm  0.333  0.667  0.680

Computed properties:
total DFT energy (no corrections)	-6.1257	eV per atom
E_form	0.42	eV/f.u.
offset from the most stable computed form	0.000	eV per atom
N(E_F)	1.51	states/eV/atom
volume	29.35	Å³/atom
total moment	0.0	μB per formula unit
space group	P3m1

***

# 7
## SmHoPa (GGA-PBE)

Data for an optimized crystal structure of SmHoPa.

abc: 5.115 3.358 10.582
angles: 80.87 90.00 90.00
Element x y z (fractional)
Sm  0.250  0.118  0.765
Sm  0.750  0.882  0.235
Pa  0.250  0.467  0.065
Pa  0.750  0.533  0.935
Ho  0.750  0.708  0.584
Ho  0.250  0.292  0.416

Computed properties:
total DFT energy (no corrections)	-6.0761	eV per atom
E_form	0.56	eV/f.u.
offset from the most stable computed form	0.050	eV per atom
N(E_F)	1.90	states/eV/atom
volume	29.91	Å³/atom
total moment	0.0	μB per formula unit
space group	Cmcm

***

# 8
## SmHoPa (GGA-PBE)

Data for an optimized crystal structure of SmHoPa.

abc: 3.405 3.405 8.029
angles: 102.24 102.24 90.00
Element x y z (fractional)
Pa  0.332  0.332  0.664
Ho  0.678  0.678  0.357
Sm  0.990  0.990  0.979

Computed properties:
total DFT energy (no corrections)	-6.1021	eV per atom
E_form	0.49	eV/f.u.
offset from the most stable computed form	0.024	eV per atom
N(E_F)	1.67	states/eV/atom
volume	29.60	Å³/atom
total moment	0.0	μB per formula unit
space group	I4mm